Record 1
VASP calculation (PBE) on crystalline Tb3NdRu3 at its relaxed geometry.

Values from the calculation:
Total energy: -6.9253 eV per atom
Density of states at the Fermi level: 0.444 states/eV/atom
Magnetization: 0.000 μB per cell
Formation enthalpy at 0 K: -1.991 eV/f.u.
SG: R3m (160)

Lattice parameters (Å, degrees): 5.9118 5.8752 5.9118 109.35 109.60 109.35
Closest atoms and distances in Å follow each position.
Atoms (fractional coordinates):
Tb1 0.4147 0.0032 0.0000  4 Ru 2.82-3.13
Tb2 0.5853 0.5885 0.5853  4 Ru 2.82-3.13
Tb3 0.0000 0.0032 0.4147  4 Ru 2.82-3.13
Nd1 0.0000 0.4164 0.0000  6 Ru 2.83-3.16
Ru1 0.5010 0.5049 0.0000  4 Tb 2.82-3.13, 1 Nd 2.83
Ru2 0.4990 0.0038 0.4990  4 Tb 2.82-3.13, 1 Nd 2.83
Ru3 0.0000 0.5049 0.5010  4 Tb 2.82-3.13, 1 Nd 2.83


Record 2
VASP calculation (PBE) on crystalline Sm2GaSi3Pt4 at its relaxed geometry.

Values from the calculation:
Total energy: -6.3816 eV per atom
Raw formation energy: -1.0919 eV per atom
Density of states at the Fermi level: 0.526 states/eV/atom
Magnetization: 0.000 μB per cell
SG: P-4m2 (115)

Lattice parameters (Å, degrees): 4.2651 4.2651 9.9558 90.00 90.00 90.00
Closest atoms and distances in Å follow each position.
Atoms (fractional coordinates):
Sm1 0.5000 0.0000 0.2539  8 Pt 3.22-3.31, 2 Ga 3.25, 6 Si 3.25-3.27
Sm2 0.0000 0.5000 0.7461  8 Pt 3.22-3.31, 6 Si 3.25-3.27, 2 Ga 3.25
Ga1 0.5000 0.5000 0.5000  4 Pt 2.51
Si1 0.0000 0.0000 0.5000  4 Pt 2.51
Si2 0.5000 0.0000 0.8720  5 Pt 2.38-2.48
Si3 0.0000 0.5000 0.1280  5 Pt 2.38-2.48
Pt1 0.5000 0.5000 0.0000  4 Si 2.48
Pt2 0.0000 0.0000 0.0000  4 Si 2.48
Pt3 0.5000 0.0000 0.6330  3 Si 2.38-2.51, 2 Ga 2.51
Pt4 0.0000 0.5000 0.3670  3 Si 2.38-2.51, 2 Ga 2.51


Record 3
VASP calculation (PBE) on crystalline PrHoTeO2 at its relaxed geometry.

Values from the calculation:
Total energy: -7.3954 eV per atom
Raw formation energy: -2.9123 eV per atom
Density of states at the Fermi level: 0.000 states/eV/atom
Magnetization: 0.000 μB per cell
SG: P2_1/m (11)

Lattice parameters (Å, degrees): 4.1582 6.9543 7.9303 107.30 90.00 90.00
Closest atoms and distances in Å follow each position.
Atoms (fractional coordinates):
Pr1 0.2500 0.6809 0.9255  4 O 2.35-2.44
Pr2 0.7500 0.3191 0.0745  4 O 2.35-2.44
Ho1 0.2500 0.6543 0.4133  4 O 2.21-2.29
Ho2 0.7500 0.3457 0.5867  4 O 2.21-2.29
Te1 0.2500 0.0488 0.7469  3 Ho 3.19-3.43, 3 Pr 3.27-3.42, 1 O 3.52
Te2 0.7500 0.9512 0.2531  3 Ho 3.19-3.43, 3 Pr 3.27-3.42, 1 O 3.52
O1 0.7500 0.5110 0.3866  3 Ho 2.22-2.29, 1 Pr 2.44
O2 0.2500 0.4890 0.6134  3 Ho 2.22-2.29, 1 Pr 2.44
O3 0.7500 0.5159 0.8702  1 Ho 2.21, 3 Pr 2.35-2.41
O4 0.2500 0.4841 0.1298  1 Ho 2.21, 3 Pr 2.35-2.41


Record 4
VASP calculation (PBE) on crystalline KLiEu2 at its relaxed geometry.

Values from the calculation:
Total energy: -5.7534 eV per atom
Density of states at the Fermi level: 5.537 states/eV/atom
Magnetization: 15.373 μB per cell
Formation enthalpy at 0 K: 0.547 eV/f.u.
Energy above the lowest structure with this stoichiometry: 0.000 eV per atom
SG: P4/mmm (123)

Lattice parameters (Å, degrees): 4.0071 4.0071 11.0557 90.00 90.00 90.00
Closest atoms and distances in Å follow each position.
Atoms (fractional coordinates):
Eu1 0.0000 0.0000 0.8181  4 Li 3.47
Eu2 0.0000 0.0000 0.1819  4 Li 3.47
K1 0.5000 0.5000 0.5000  4 K 4.01
Li1 0.5000 0.5000 0.0000  8 Eu 3.47


Which of these has the highest density of states at the Fermi level?
KLiEu2


The highest magnetization belongs to which entry?
KLiEu2


The highest total energy belongs to which entry?
KLiEu2